Entry 1:
TaAsRh2: relaxed, PBE.

## Properties
The value obtained for the formation energy is -155 meV per atom. As for the symmetry: P4/mmm, No. 123. The total energy comes out at -31.8 eV per cell. For the total magnetization, the calculation gives 0.00 Bohr magnetons per cell.

The structure in POSCAR format:
```
TaAsRh2
1.0
4.632 0.000 0.000
0.000 4.632 0.000
0.000 0.000 2.960
Ta As Rh
1 1 2
Direct
0.000 0.000 0.000
0.500 0.500 0.000
0.000 0.500 0.500
0.500 0.000 0.500
```

***

Entry 2:
K2Tm2SnO6: relaxed, PBE.

## Properties
As for the symmetry: C2/m, No. 12. The total energy comes out at -72.6 eV per cell. For the total magnetization, the calculation gives 0.00 Bohr magnetons per cell. The uncorrected formation energy comes out at -2.52 eV per atom.

The structure in POSCAR format:
```
K2Tm2SnO6
1.0
2.902 -5.001 0.000
2.902 5.001 0.000
-1.864 0.000 6.373
K Tm Sn O
2 2 1 6
Direct
0.166 0.834 0.000
0.834 0.166 0.000
0.335 0.665 0.500
0.665 0.335 0.500
0.000 0.000 0.500
0.051 0.374 0.673
0.255 0.255 0.328
0.374 0.051 0.673
0.626 0.949 0.327
0.745 0.745 0.672
0.949 0.626 0.327
```